(1)
An optimized crystal structure of KTa2Hg. Source: Alexandria, functional PBE-GGA.

Computed properties:
volume: 183.8 Å³/cell
size of the total moment: 0.00 Bohr magnetons per cell
calculated total energy: -5.792 eV per atom

a b c (Å): 3.484 4.881 10.809
angles (deg): 90.00 90.00 90.00
Space group Cmm2 (No. 35)
Inequivalent atoms, fractional coordinates:
1 K 0.000 0.000 0.000
2 Ta 0.000 0.000 0.503
3 Ta 0.000 0.500 0.696
4 Hg 0.000 0.500 0.273

***

(2)
An optimized crystal structure of TbSm2Al. Source: Alexandria, functional PBE-GGA.

Computed properties:
volume: 448.6 Å³/cell
energy relative to the lowest polymorph listed for this composition: 0 meV per atom
size of the total moment: 0.00 Bohr magnetons per cell
calculated total energy: -4.642 eV per atom

a b c (Å): 5.327 6.966 12.089
angles (deg): 90.00 90.00 90.00
Space group Amm2 (No. 38)
Inequivalent atoms, fractional coordinates:
1 Tb 0.000 0.235 0.000
2 Sm 0.000 0.000 0.235
3 Sm 0.500 0.000 0.589
4 Sm 0.500 0.234 0.824
5 Al 0.000 0.000 0.746
6 Al 0.500 0.000 0.077

***

(3)
An optimized crystal structure of ZrAg2Se. Source: Alexandria, functional PBE-GGA.

Computed properties:
volume: 240.2 Å³/cell
energy relative to the elements, uncorrected: 0.1119 eV per atom
size of the total moment: 0.00 Bohr magnetons per cell
calculated total energy: -4.322 eV per atom

a b c (Å): 3.0658 3.0658 29.5096
angles (deg): 90.00 90.00 120.00
Space group R-3m (No. 166, hexagonal axes)
Inequivalent atoms, fractional coordinates:
1 Zr 0.0000 0.0000 0.0000
2 Ag 0.0000 0.0000 0.2483
3 Se 0.0000 0.0000 0.5000

***

(4)
An optimized crystal structure of Tl3InF. Source: Alexandria, functional PBE-GGA.

Computed properties:
volume: 204.1 Å³/cell
energy relative to the lowest polymorph listed for this composition: 446 meV per atom
energy relative to the elements, uncorrected: -0.0796 eV per atom
size of the total moment: 0.00 Bohr magnetons per cell
calculated total energy: -2.421 eV per atom

a b c (Å): 5.888 5.888 5.888
angles (deg): 90.00 90.00 90.00
Space group Pm-3m (No. 221)
Inequivalent atoms, fractional coordinates:
1 Tl 0.000 0.000 0.500
2 In 0.000 0.000 0.000
3 F 0.500 0.500 0.500